(1)
# CoRe2Mo | the Alexandria database | PBE | relaxed
data_CoRe2Mo
_chemical_formula_sum 'Co1 Re2 Mo1'
_cell_length_a 2.731
_cell_length_b 3.815
_cell_length_c 5.455
_cell_angle_alpha 90.00
_cell_angle_beta 90.22
_cell_angle_gamma 90.00
_symmetry_space_group_name_H-M 'P 1 m 1'
_symmetry_Int_Tables_number 6
_symmetry_space_group_name_Hall 'P -2y'
loop_
_atom_site_label
_atom_site_fract_x
_atom_site_fract_y
_atom_site_fract_z
_atom_site_occupancy
Co1 0.000 0.000 0.000 1
Re1 0.000 0.000 0.489 1
Re2 0.498 0.500 0.240 1
Mo1 0.501 0.500 0.762 1
# - E above lowest polymorph: 71 meV per atom
# - Energy of formation: 0.119 eV per atom
# - E_tot: -10.590 eV/atom

(2)
# RbTlV2Cl | the Alexandria database | PBE | relaxed
data_RbTlV2Cl
_chemical_formula_sum 'Rb1 Tl1 V2 Cl1'
_cell_length_a 5.338
_cell_length_b 5.338
_cell_length_c 6.498
_cell_angle_alpha 90.00
_cell_angle_beta 90.00
_cell_angle_gamma 90.00
_symmetry_space_group_name_H-M 'P 4/m m m'
_symmetry_Int_Tables_number 123
_symmetry_space_group_name_Hall '-P 4 2'
loop_
_atom_site_label
_atom_site_fract_x
_atom_site_fract_y
_atom_site_fract_z
_atom_site_occupancy
Rb1 0.000 0.000 0.000 1
Tl1 0.500 0.500 0.500 1
V1 0.000 0.500 0.500 1
Cl1 0.500 0.500 0.000 1
# - Formation energy without anion corrections: 801 meV/atom
# - E_tot: -3.883 eV/atom

(3)
# Dy4ZnPt2 | the Alexandria database | PBE | relaxed
data_Dy4ZnPt2
_chemical_formula_sum 'Dy12 Zn3 Pt6'
_cell_length_a 4.9009
_cell_length_b 4.9009
_cell_length_c 24.3623
_cell_angle_alpha 90.00
_cell_angle_beta 90.00
_cell_angle_gamma 120.00
_symmetry_space_group_name_H-M 'R -3 m'
_symmetry_Int_Tables_number 166
_symmetry_space_group_name_Hall '-R 3 2"'
loop_
_atom_site_label
_atom_site_fract_x
_atom_site_fract_y
_atom_site_fract_z
_atom_site_occupancy
Dy1 0.0000 0.0000 0.1222 1
Dy2 0.0000 0.0000 0.3733 1
Zn1 0.0000 0.0000 0.5000 1
Pt1 0.0000 0.0000 0.2520 1
# - Energy of formation: -0.836 eV per atom
# - E_tot: -5.374 eV/atom

(4)
# GaSiIrRh | the Alexandria database | PBE | relaxed
data_GaSiIrRh
_chemical_formula_sum 'Ga4 Si4 Ir4 Rh4'
_cell_length_a 6.041
_cell_length_b 6.041
_cell_length_c 6.041
_cell_angle_alpha 90.00
_cell_angle_beta 90.00
_cell_angle_gamma 90.00
_symmetry_space_group_name_H-M 'F -4 3 m'
_symmetry_Int_Tables_number 216
_symmetry_space_group_name_Hall 'F -4 2 3'
loop_
_atom_site_label
_atom_site_fract_x
_atom_site_fract_y
_atom_site_fract_z
_atom_site_occupancy
Ga1 0.000 0.000 0.000 1
Si1 0.000 0.000 0.500 1
Ir1 0.250 0.250 0.250 1
Rh1 0.250 0.250 0.750 1
# - Formation energy without anion corrections: -477 meV/atom
# - E_tot: -6.642 eV/atom

(5)
# TaNiPt2 | the Alexandria database | PBE | relaxed
data_TaNiPt2
_chemical_formula_sum 'Ta2 Ni2 Pt4'
_cell_length_a 4.476
_cell_length_b 5.481
_cell_length_c 4.846
_cell_angle_alpha 90.00
_cell_angle_beta 90.00
_cell_angle_gamma 90.00
_symmetry_space_group_name_H-M 'P m m n'
_symmetry_Int_Tables_number 59
loop_
_symmetry_equiv_pos_as_xyz
'x,y,z'
'-x,-y,-z'
'-x+1/2,-y+1/2,z'
'x+1/2,y+1/2,-z'
'x+1/2,-y,-z'
'-x+1/2,y,z'
'-x,y+1/2,-z'
'x,-y+1/2,z'
loop_
_atom_site_label
_atom_site_fract_x
_atom_site_fract_y
_atom_site_fract_z
_atom_site_occupancy
Ta1 0.250 0.250 0.154 1
Ni1 0.250 0.750 0.166 1
Pt1 0.250 0.001 0.675 1
# - Energy of formation: -0.680 eV per atom
# - E_tot: -8.109 eV/atom

(6)
# Li3Hg3Au2 | the Alexandria database | PBE | relaxed
data_Li3Hg3Au2
_chemical_formula_sum 'Li3 Hg3 Au2'
_cell_length_a 7.5882
_cell_length_b 7.5882
_cell_length_c 3.0143
_cell_angle_alpha 90.00
_cell_angle_beta 90.00
_cell_angle_gamma 120.00
_symmetry_space_group_name_H-M 'P -6 2 m'
_symmetry_Int_Tables_number 189
_symmetry_space_group_name_Hall 'P -6 -2'
loop_
_atom_site_label
_atom_site_fract_x
_atom_site_fract_y
_atom_site_fract_z
_atom_site_occupancy
Li1 0.0000 0.5904 0.0000 1
Hg1 0.0000 0.2379 0.5000 1
Au1 0.3333 0.6667 0.5000 1
# - E above lowest polymorph: 0 meV per atom
# - Energy of formation: -0.368 eV per atom
# - E_tot: -2.018 eV/atom

(7)
# VZnCo2 | the Alexandria database | PBE | relaxed
data_VZnCo2
_chemical_formula_sum 'V4 Zn4 Co8'
_cell_length_a 6.350
_cell_length_b 6.350
_cell_length_c 5.156
_cell_angle_alpha 90.00
_cell_angle_beta 90.00
_cell_angle_gamma 90.00
_symmetry_space_group_name_H-M 'I -4 2 d'
_symmetry_Int_Tables_number 122
_symmetry_space_group_name_Hall 'I -4 2bw'
loop_
_atom_site_label
_atom_site_fract_x
_atom_site_fract_y
_atom_site_fract_z
_atom_site_occupancy
V1 0.000 0.000 0.000 1
Zn1 0.000 0.000 0.500 1
Co1 0.219 0.250 0.125 1
# - Energy of formation: 0.331 eV per atom
# - E_tot: -5.821 eV/atom

(8)
# PrPuTaN3 | the Alexandria database | PBE | relaxed
data_PrPuTaN3
_chemical_formula_sum 'Pr2 Pu2 Ta2 N6'
_cell_length_a 7.410
_cell_length_b 3.493
_cell_length_c 7.918
_cell_angle_alpha 90.00
_cell_angle_beta 93.63
_cell_angle_gamma 90.00
_symmetry_space_group_name_H-M 'P 1 21/m 1'
_symmetry_Int_Tables_number 11
_symmetry_space_group_name_Hall '-P 2yb'
loop_
_atom_site_label
_atom_site_fract_x
_atom_site_fract_y
_atom_site_fract_z
_atom_site_occupancy
Pr1 0.150 0.250 0.163 1
Pu1 0.381 0.750 0.841 1
Ta1 0.123 0.250 0.585 1
N1 0.125 0.250 0.841 1
N2 0.172 0.750 0.459 1
N3 0.408 0.750 0.115 1
# - Formation energy without anion corrections: -963 meV/atom
# - E_tot: -10.286 eV/atom

(9)
# Mn2FeRu2 | the Alexandria database | PBE | relaxed
data_Mn2FeRu2
_chemical_formula_sum 'Mn4 Fe2 Ru4'
_cell_length_a 6.970
_cell_length_b 6.970
_cell_length_c 2.667
_cell_angle_alpha 90.00
_cell_angle_beta 90.00
_cell_angle_gamma 90.00
_symmetry_space_group_name_H-M 'P 4/m b m'
_symmetry_Int_Tables_number 127
_symmetry_space_group_name_Hall '-P 4 2ab'
loop_
_atom_site_label
_atom_site_fract_x
_atom_site_fract_y
_atom_site_fract_z
_atom_site_occupancy
Mn1 0.120 0.380 0.000 1
Fe1 0.000 0.000 0.000 1
Ru1 0.173 0.673 0.500 1
# - E above lowest polymorph: 77 meV per atom
# - Energy of formation: 0.247 eV per atom
# - E_tot: -8.823 eV/atom

(10)
# LaCuBi | the Alexandria database | PBE | relaxed
data_LaCuBi
_chemical_formula_sum 'La1 Cu1 Bi1'
_cell_length_a 4.5491
_cell_length_b 4.5491
_cell_length_c 4.4602
_cell_angle_alpha 90.00
_cell_angle_beta 90.00
_cell_angle_gamma 120.00
_symmetry_space_group_name_H-M 'P 3 m 1'
_symmetry_Int_Tables_number 156
_symmetry_space_group_name_Hall 'P 3 -2"'
loop_
_atom_site_label
_atom_site_fract_x
_atom_site_fract_y
_atom_site_fract_z
_atom_site_occupancy
La1 0.0000 0.0000 0.0000 1
Cu1 0.3333 0.6667 0.5935 1
Bi1 0.6667 0.3333 0.4888 1
# - Energy of formation: -0.551 eV per atom
# - E_tot: -4.852 eV/atom

(11)
# SrZrPO2 | the Alexandria database | PBE | relaxed
data_SrZrPO2
_chemical_formula_sum 'Sr1 Zr1 P1 O2'
_cell_length_a 4.228
_cell_length_b 4.228
_cell_length_c 5.247
_cell_angle_alpha 90.00
_cell_angle_beta 90.00
_cell_angle_gamma 90.00
_symmetry_space_group_name_H-M 'P 4/m m m'
_symmetry_Int_Tables_number 123
_symmetry_space_group_name_Hall '-P 4 2'
loop_
_atom_site_label
_atom_site_fract_x
_atom_site_fract_y
_atom_site_fract_z
_atom_site_occupancy
Sr1 0.000 0.000 0.000 1
Zr1 0.500 0.500 0.500 1
P1 0.500 0.500 0.000 1
O1 0.000 0.500 0.500 1
# - E above lowest polymorph: 0 meV per atom
# - Formation energy without anion corrections: -2017 meV/atom
# - E_tot: -7.128 eV/atom